[1]
Entry from Alexandria: a relaxed structure of SrYZr2 (PBE).

DFT formation energy (eV/atom): 0.372
M_tot (μB per formula unit): 0.0
Energy relative to the lowest polymorph listed for this composition (meV/atom): 143

Cell: 3.378 4.856 7.410 Å, 90.00 90.01 90.00°
Space group P2/m (No. 10)
Unique sites:
1 Sr 0.000 0.000 0.000 (multiplicity 1)
2 Y 0.000 0.000 0.500 (multiplicity 1)
3 Zr 0.498 0.500 0.298 (multiplicity 2)

=====

[2]
Entry from Alexandria: a relaxed structure of Y2TaTi (PBE).

DFT formation energy (eV/atom): 0.882
M_tot (μB per formula unit): 0.8
Energy relative to the lowest polymorph listed for this composition (meV/atom): 382

Cell: 8.020 8.020 6.117 Å, 90.00 90.00 90.00°
Space group I-42d (No. 122)
Unique sites:
1 Y 0.242 0.750 0.125 (multiplicity 8)
2 Ta 0.000 0.000 0.500 (multiplicity 4)
3 Ti 0.000 0.000 0.000 (multiplicity 4)

=====

[3]
Entry from Alexandria: a relaxed structure of CsSi3Ge (PBE).

M_tot (μB per formula unit): 0.0
Formation energy from raw total energies (eV/f.u.): 4.45
Energy relative to the lowest polymorph listed for this composition (meV/atom): 0

Cell: 5.119 5.119 5.119 Å, 90.00 90.00 90.00°
Space group Pm-3m (No. 221)
Unique sites:
1 Cs 0.000 0.000 0.000 (multiplicity 1)
2 Si 0.000 0.500 0.500 (multiplicity 3)
3 Ge 0.500 0.500 0.500 (multiplicity 1)

=====

[4]
Entry from Alexandria: a relaxed structure of BaTl2H (PBE).

M_tot (μB per formula unit): 0.0
Energy relative to the lowest polymorph listed for this composition (meV/atom): 0

Cell: 7.067 7.067 9.713 Å, 90.00 90.00 90.00°
Space group I-42d (No. 122)
Unique sites:
1 Ba 0.000 0.000 0.000 (multiplicity 4)
2 Tl 0.085 0.250 0.625 (multiplicity 8)
3 H 0.000 0.000 0.500 (multiplicity 4)